Here is an optimized crystal structure of SrGaGe2F from Alexandria via LeMat-Bulk. Energies are from GGA-PBE.

Total DFT energy (no corrections), eV/atom: -2.3467
Uncorrected formation energy, eV per formula unit: 4.08

Lattice parameters (Å, degrees): 5.8619 5.8619 6.3894 90.00 90.00 90.00
Positions (direct):
Sr1 0.0000 0.0000 0.0000
Ga1 0.0000 0.0000 0.5000
Ge1 0.0000 0.5000 0.0000
Ge2 0.5000 0.0000 0.0000
F1 0.5000 0.5000 0.5000


Here is an optimized crystal structure of La2NdPd from Alexandria via LeMat-Bulk. Energies are from GGA-PBE.

Total DFT energy (no corrections), eV/atom: -5.2519
Energy relative to the elements, eV per atom: -0.298
Excess energy over the best structure of this formula in the dataset, kJ per mole of atoms: 11.06

Lattice parameters (Å, degrees): 10.1154 10.1154 10.1154 22.41 22.41 22.41
Positions (direct):
La1 0.2311 0.2311 0.2311
La2 0.7689 0.7689 0.7689
Nd1 0.0000 0.0000 0.0000
Pd1 0.5000 0.5000 0.5000


Here is an optimized crystal structure of PuNb2Tc from Alexandria via LeMat-Bulk. Energies are from GGA-PBE.

Total DFT energy (no corrections), eV/atom: -11.1856
Energy relative to the elements, eV per atom: 0.024

Lattice parameters (Å, degrees): 3.1856 3.1856 7.3492 90.00 90.00 90.00
Positions (direct):
Pu1 0.0000 0.0000 0.0000
Nb1 0.5000 0.5000 0.2820
Nb2 0.5000 0.5000 0.7180
Tc1 0.0000 0.0000 0.5000


Here is an optimized crystal structure of Cs3DyPu2S6 from Alexandria via LeMat-Bulk. Energies are from GGA-PBE.

Total DFT energy (no corrections), eV/atom: -6.6780
Uncorrected formation energy, eV per formula unit: -19.54

Lattice parameters (Å, degrees): 7.1880 7.1880 8.3934 98.21 98.21 120.00
Positions (direct):
Cs1 0.0000 0.0000 0.0000
Cs2 0.3338 0.6662 0.0000
Cs3 0.6662 0.3338 0.0000
Dy1 0.5000 0.5000 0.5000
Pu1 0.1667 0.8333 0.5000
Pu2 0.8333 0.1667 0.5000
S1 0.1081 0.4398 0.3195
S2 0.2283 0.2283 0.6803
S3 0.4398 0.1081 0.3195
S4 0.5602 0.8919 0.6805
S5 0.7717 0.7717 0.3197
S6 0.8919 0.5602 0.6805


Here is an optimized crystal structure of AlAg2Pb from Alexandria via LeMat-Bulk. Energies are from GGA-PBE.

Total DFT energy (no corrections), eV/atom: -3.1094
Energy relative to the elements, eV per atom: 0.179
Excess energy over the best structure of this formula in the dataset, kJ per mole of atoms: 13.23

Lattice parameters (Å, degrees): 5.2578 5.2578 3.1458 90.00 90.00 104.69
Positions (direct):
Al1 0.0000 0.0000 0.0000
Ag1 0.0000 0.5000 0.5000
Ag2 0.5000 0.0000 0.5000
Pb1 0.5000 0.5000 0.0000


Here is an optimized crystal structure of ZnB3Ir from Alexandria via LeMat-Bulk. Energies are from GGA-PBE.

Total DFT energy (no corrections), eV/atom: -3.9793
Energy relative to the elements, eV per atom: 2.054
Excess energy over the best structure of this formula in the dataset, kJ per mole of atoms: 109.77

Lattice parameters (Å, degrees): 3.8735 3.8735 3.8735 90.00 90.00 90.00
Positions (direct):
Zn1 0.0000 0.0000 0.0000
B1 0.0000 0.0000 0.5000
B2 0.0000 0.5000 0.0000
B3 0.5000 0.0000 0.0000
Ir1 0.5000 0.5000 0.5000


Here is an optimized crystal structure of CeDyFe from Alexandria via LeMat-Bulk. Energies are from GGA-PBE.

Total DFT energy (no corrections), eV/atom: -6.4151
Energy relative to the elements, eV per atom: -0.082
Excess energy over the best structure of this formula in the dataset, kJ per mole of atoms: 0.00

Lattice parameters (Å, degrees): 6.0381 3.6882 12.8805 90.00 90.00 90.00
Positions (direct):
Ce1 0.1238 0.2500 0.1473
Ce2 0.3762 0.7500 0.6473
Ce3 0.6238 0.2500 0.3527
Ce4 0.8762 0.7500 0.8527
Dy1 0.1311 0.7500 0.4009
Dy2 0.3689 0.2500 0.9009
Dy3 0.6311 0.7500 0.0991
Dy4 0.8689 0.2500 0.5991
Fe1 0.1428 0.7500 0.0364
Fe2 0.3572 0.2500 0.5364
Fe3 0.6428 0.7500 0.4636
Fe4 0.8572 0.2500 0.9636


Here is an optimized crystal structure of RbZnCuTe2 from Alexandria via LeMat-Bulk. Energies are from GGA-PBE.

Total DFT energy (no corrections), eV/atom: -3.0142
Uncorrected formation energy, eV per formula unit: -2.45

Lattice parameters (Å, degrees): 8.0927 8.0927 6.7848 90.00 90.00 132.35
Positions (direct):
Rb1 0.2500 0.7500 0.7573
Rb2 0.7500 0.2500 0.2427
Zn1 0.2500 0.2500 0.5000
Zn2 0.7500 0.7500 0.5000
Cu1 0.0000 0.0000 0.0000
Cu2 0.5000 0.5000 0.0000
Te1 0.1061 0.8939 0.2785
Te2 0.3939 0.6061 0.2785
Te3 0.6061 0.3939 0.7215
Te4 0.8939 0.1061 0.7215


> Which of these has the lowest total DFT energy (no corrections)?

PuNb2Tc


> What is the formula in the second record?

La2NdPd


> Which of these has the highest total DFT energy (no corrections)?

SrGaGe2F